Entry from the Alexandria database: a relaxed structure of Dy12Co3O5 (GGA+U).

Lattice parameters (Å, degrees): 15.163 15.163 15.163 90.00 90.00 90.00
Space group Ia-3d (No. 230)
Inequivalent atoms, fractional coordinates:
Dy1 0.036 0.055 0.650 x96
Co1 0.000 0.250 0.125 x24
O1 0.000 0.000 0.000 x16
O2 0.000 0.250 0.375 x24

Fermi-level density of states in states/eV per cell: 101.47
Total DFT energy (no corrections) in eV per atom: -6.123
Calculated volume in Å³/atom: 21.79
Magnetization in μB per cell: 38.18